Density functional theory data (PBE) for Ca12Ag2Sn5 after structural relaxation.

abc: 17.585 7.683 10.251
angles: 90.00 104.06 90.00
Space group C2/m (No. 12)
Asymmetric unit:
Ca 0.008 0.000 0.280 (multiplicity 4)
Ca 0.024 0.500 0.817 (multiplicity 4)
Ca 0.156 0.255 0.576 (multiplicity 8)
Ca 0.175 0.240 0.104 (multiplicity 8)
Ag 0.000 0.185 0.000 (multiplicity 4)
Sn 0.000 0.500 0.500 (multiplicity 2)
Sn 0.175 0.000 0.841 (multiplicity 4)
Sn 0.191 0.000 0.356 (multiplicity 4)

Electronic total energy (eV per cell): -115.269
Formation enthalpy at 0 K (eV/atom): -0.416
Calculated volume (Å³ per atom): 35.357
Calculated density (Mg/m³): 3.19
Magnetization (μB/cell): 0.01